# PBE ZrNiSe2, relaxed
# Formation energy without anion corrections: -0.561 eV/atom
# E_tot: -23.5 eV/f.u.
# Fermi-level density of states: 1.73 states/eV per cell
data_ZrNiSe2
_symmetry_space_group_name_H-M 'P 4/m m m'
_symmetry_Int_Tables_number 123
_symmetry_space_group_name_Hall '-P 4 2'
_cell_length_a 4.4716
_cell_length_b 4.4716
_cell_length_c 3.4090
_cell_angle_alpha 90.00
_cell_angle_beta 90.00
_cell_angle_gamma 90.00
loop_
_atom_site_label
_atom_site_type_symbol
_atom_site_fract_x
_atom_site_fract_y
_atom_site_fract_z
_atom_site_occupancy
Zr1 Zr 0.0000 0.0000 0.0000 1
Ni1 Ni 0.5000 0.5000 0.0000 1
Se1 Se 0.0000 0.5000 0.5000 1